Entry 1:
First-principles (PBE-GGA) data for PuBeRe after structural relaxation, as listed in the Open Quantum Materials Database.

Output
Mass density ... 15.2 Mg/m³
Volume ... 15.95 Å³ per atom
Polymorph energy (0 for the lowest one) ... 0.000 eV per formula unit

a b c (Å): 5.7628 5.7628 5.7628
angles (deg): 90.00 90.00 90.00
With the nearest neighbours (Å) after each atom.
Space group F-43m (No. 216)
One atom of each set of equivalent atoms:
Pu  0.0000  0.0000  0.0000  4 Be 2.50
Be  0.2500  0.2500  0.2500  4 Re 2.50, 4 Pu 2.50
Re  0.0000  0.0000  0.5000  4 Be 2.50



Entry 2:
First-principles (PBE-GGA) data for Ta4InC2S after structural relaxation, as listed in the Open Quantum Materials Database.

Output
Mass density ... 12.6 Mg/m³
Electronic total energy ... -9.636 eV per atom
Volume ... 14.76 Å³ per atom

a b c (Å): 3.2313 3.2313 13.0543
angles (deg): 90.00 90.00 120.00
With the nearest neighbours (Å) after each atom.
Space group P-6m2 (No. 187)
One atom of each set of equivalent atoms:
Ta  0.0000  0.0000  0.1386  3 C 2.21
Ta  0.3333  0.6667  0.3158  3 C 2.18
In  0.0000  0.0000  0.5000  6 Ta 3.04, 6 In 3.23
C  0.6667  0.3333  0.2294  6 Ta 2.18-2.21
S  0.3333  0.6667  0.0000  6 Ta 2.60



Entry 3:
First-principles (PBE-GGA) data for HoTlCd after structural relaxation, as listed in the Open Quantum Materials Database.

Output
Mass density ... 9.5 Mg/m³
Electronic total energy ... -2.784 eV per atom
Volume ... 28.15 Å³ per atom

a b c (Å): 6.9646 6.9646 6.9646
angles (deg): 90.00 90.00 90.00
With the nearest neighbours (Å) after each atom.
Space group F-43m (No. 216)
One atom of each set of equivalent atoms:
Ho  0.0000  0.0000  0.0000  4 Tl 3.02
Tl  0.2500  0.2500  0.7500  4 Cd 3.02, 4 Ho 3.02
Cd  0.0000  0.0000  0.5000  4 Tl 3.02



Entry 4:
First-principles (PBE-GGA) data for GdDyAl3Si2 after structural relaxation, as listed in the Open Quantum Materials Database.

Output
Mass density ... 5.6 Mg/m³
Electronic total energy ... -5.028 eV per atom
Volume ... 19.29 Å³ per atom

a b c (Å): 10.2208 4.0620 6.6328
angles (deg): 90.00 101.21 90.00
With the nearest neighbours (Å) after each atom.
Space group Cm (No. 8)
One atom of each set of equivalent atoms:
Gd  0.0000  0.0000  0.0000  5 Si 2.90-3.02, 5 Al 3.03-3.21
Dy  0.2605  0.5000  0.3554  5 Si 2.91-3.01, 6 Al 3.02-3.25
Al  0.0751  0.0000  0.5435  2 Si 2.61, 2 Al 2.78
Al  0.1856  0.5000  0.8102  2 Si 2.62, 2 Al 2.78
Al  0.3796  0.0000  0.6768  2 Si 2.72-2.74, 2 Dy 3.02, 2 Gd 3.03
Si  0.2877  0.0000  0.0376  1 Si 2.39, 2 Al 2.62
Si  0.4726  0.0000  0.3193  1 Si 2.39, 2 Al 2.61